The following is a DFT calculation (GGA-PBEsol) of a geometry-optimized Bi3PbN structure.

Output
space group = Pm-3m, No. 221
uncorrected formation energy = 36 kJ per mole of atoms

Cell and atoms, written as extended XYZ:
```
5
Lattice="4.9892 0.0000 0.0000 0.0000 4.9892 0.0000 0.0000 0.0000 4.9892" Properties=species:S:1:pos:R:3 pbc="T T T"
Pb 2.4946 2.4946 2.4946
N 0.0000 0.0000 0.0000
Bi 0.0000 0.0000 2.4946
Bi 2.4946 0.0000 0.0000
Bi 0.0000 2.4946 0.0000
```